(1)
La6Pm5Ho | Alexandria | PBE | optimized geometry; ΔE_f = 0.018 eV per atom; energy above the lowest structure with this stoichiometry = 3 meV per atom
1.0
6.3486 -0.0104 0.0805
-0.0139 6.8618 2.8132
0.0299 0.0080 9.7584
Pm La Ho
5 6 1
direct
0.3347 0.3332 0.3335 Pm
0.6653 0.6668 0.6665 Pm
0.0000 0.5000 0.0000 Pm
0.6671 0.1663 0.6673 Pm
0.3329 0.8337 0.3327 Pm
0.4999 0.2482 0.0001 La
0.1655 0.9166 0.6681 La
0.5001 0.7518 0.9999 La
0.1654 0.4152 0.6681 La
0.8346 0.5848 0.3319 La
0.8345 0.0834 0.3319 La
0.0000 0.0000 0.0000 Ho

=====

(2)
SnBi | Alexandria | PBE | optimized geometry; ΔE_f = 0.056 eV per atom
1.0
3.3476 -0.0130 0.0280
1.6537 4.3306 0.1442
1.6049 0.1980 4.3444
Sn Bi
1 1
direct
0.4471 0.6862 0.1787 Sn
0.0500 0.1872 0.6800 Bi

=====

(3)
KHfCuF7 | Alexandria | PBE | optimized geometry; energy relative to the elements, uncorrected = -2.9700 eV per atom
1.0
7.7151 0.0183 0.0000
-3.0216 7.0988 0.0000
0.0000 0.0000 10.1378
Hf F Cu K
4 28 4 4
direct
0.1333 0.8667 0.0696 Hf
0.1333 0.8667 0.4304 Hf
0.8667 0.1333 0.9304 Hf
0.8667 0.1333 0.5696 Hf
0.2737 0.9993 0.2500 F
0.3514 0.0985 0.0136 F
0.2205 0.7795 0.8854 F
0.9761 0.0239 0.1136 F
0.7062 0.2938 0.6089 F
0.7263 0.0007 0.7500 F
0.0985 0.3514 0.9864 F
0.2938 0.7062 0.3911 F
0.5791 0.4209 0.2500 F
0.4209 0.5791 0.7500 F
0.6486 0.9015 0.9864 F
0.7795 0.2205 0.1146 F
0.7795 0.2205 0.3854 F
0.9993 0.2737 0.7500 F
0.0007 0.7263 0.2500 F
0.2938 0.7062 0.1089 F
0.3514 0.0985 0.4864 F
0.0985 0.3514 0.5135 F
0.9015 0.6486 0.4864 F
0.2205 0.7795 0.6146 F
0.9015 0.6486 0.0136 F
0.0239 0.9761 0.8864 F
0.6486 0.9015 0.5135 F
0.5000 0.5000 0.5000 F
0.9761 0.0239 0.3864 F
0.5000 0.5000 0.0000 F
0.0239 0.9761 0.6136 F
0.7062 0.2938 0.8911 F
0.3639 0.6361 0.9286 Cu
0.3639 0.6361 0.5714 Cu
0.6361 0.3639 0.4286 Cu
0.6361 0.3639 0.0714 Cu
0.8408 0.6380 0.7500 K
0.3620 0.1592 0.7500 K
0.6380 0.8408 0.2500 K
0.1592 0.3620 0.2500 K

=====

(4)
TiTe3 | Alexandria | PBE | optimized geometry; energy relative to the elements, uncorrected = -0.3586 eV per atom
1.0
-2.9913 -2.0855 -0.3943
3.3676 -5.4775 3.4236
-1.7425 5.2713 2.3979
Te Ti
3 1
direct
0.6647 0.0281 0.3294 Te
0.5000 0.3645 0.0000 Te
0.3353 0.6987 0.6706 Te
0.0000 0.0754 0.0000 Ti

=====

(5)
FeRh2Cl | Alexandria | PBE | optimized geometry; energy relative to the elements, uncorrected = 0.4416 eV per atom
1.0
-2.7929 -0.7486 4.3472
-5.1331 -0.8668 -0.3980
4.8525 -1.5447 -1.1518
Cl Rh Fe
1 2 1
direct
0.4940 0.4940 0.0000 Cl
0.0064 0.0064 0.0000 Rh
0.7337 0.2337 0.5000 Rh
0.2659 0.7659 0.5000 Fe

=====

(6)
TaCd3P | Alexandria | PBE | optimized geometry; ΔE_f = 1.170 eV per atom; energy above the lowest structure with this stoichiometry = 0 meV per atom
1.0
4.9778 0.0000 0.0000
0.0000 4.9778 0.0000
0.0000 0.0000 4.9778
Cd Ta P
3 1 1
direct
0.0000 0.5000 0.0000 Cd
0.5000 0.0000 0.0000 Cd
0.0000 0.0000 0.5000 Cd
0.5000 0.5000 0.5000 Ta
0.0000 0.0000 0.0000 P

=====

(7)
Th2TeAu | Alexandria | PBE | optimized geometry; energy above the lowest structure with this stoichiometry = 53 meV per atom; energy relative to the elements, uncorrected = -0.7556 eV per atom
1.0
4.0880 0.0000 0.0000
2.0440 3.5403 0.0000
2.0440 1.1801 8.3583
Th Au Te
2 1 1
direct
0.0769 0.0769 0.7692 Th
0.2560 0.2560 0.2319 Th
0.6671 0.6671 0.9986 Au
0.4999 0.4999 0.5003 Te

=====

(8)
Cs2SrIF6 | Alexandria | PBE | optimized geometry; energy relative to the elements, uncorrected = -2.4593 eV per atom
1.0
-4.5123 0.9724 5.7788
1.1775 -6.9943 2.0963
1.8493 -1.6638 6.4568
F Cs Sr I
6 2 1 1
direct
0.2744 0.7256 0.0000 F
0.2288 0.2288 0.5425 F
0.2744 0.2744 0.0000 F
0.7256 0.7256 0.0000 F
0.7712 0.7712 0.4575 F
0.7256 0.2744 0.0000 F
0.7500 0.2500 0.5000 Cs
0.2500 0.7500 0.5000 Cs
0.5000 0.5000 0.0000 Sr
0.0000 0.0000 0.0000 I

=====

(9)
TcB2Se6 | Alexandria | PBE | optimized geometry; energy relative to the elements, uncorrected = -0.0459 eV per atom
1.0
-1.8109 2.2638 -5.4989
-7.6980 -0.4487 1.0488
-1.1336 7.4017 2.1189
Se B Tc
12 4 2
direct
0.6709 0.5870 0.1037 Se
0.6230 0.9661 0.8156 Se
0.3744 0.7152 0.5668 Se
0.8744 0.5668 0.7152 Se
0.1230 0.8156 0.9661 Se
0.3291 0.4130 0.8963 Se
0.1256 0.4332 0.2848 Se
0.8770 0.1844 0.0339 Se
0.8291 0.8963 0.4130 Se
0.3770 0.0339 0.1844 Se
0.6256 0.2848 0.4332 Se
0.1709 0.1037 0.5870 Se
0.6564 0.7790 0.6410 B
0.1564 0.6410 0.7790 B
0.8436 0.3590 0.2210 B
0.3436 0.2210 0.3590 B
0.7500 0.8731 0.1269 Tc
0.2500 0.1269 0.8731 Tc

=====

(10)
La2ZrAl | Alexandria | PBE | optimized geometry; ΔE_f = 0.268 eV per atom
1.0
8.6512 0.0000 0.0000
0.0000 8.6512 0.0000
4.3256 4.3256 3.0506
Al La Zr
2 4 2
direct
0.2500 0.7500 0.5000 Al
0.5000 0.5000 0.0000 Al
0.6082 0.1250 0.2500 La
0.8750 0.8582 0.7500 La
0.3750 0.3918 0.7500 La
0.1418 0.6250 0.2500 La
0.0000 0.0000 0.0000 Zr
0.7500 0.2500 0.5000 Zr

=====

(11)
Mg2InTe | Alexandria | PBE | optimized geometry; energy above the lowest structure with this stoichiometry = 0 meV per atom; energy relative to the elements, uncorrected = -0.2813 eV per atom
1.0
-2.3372 -2.5323 7.6075
-5.4675 -3.3748 5.3353
-2.3848 -5.8555 5.4566
Te Mg In
1 2 1
direct
0.2500 0.2500 0.2500 Te
0.5091 0.5091 0.5091 Mg
0.9909 0.9909 0.9909 Mg
0.7500 0.7500 0.7500 In

=====

(12)
Sm2YBi2 | Alexandria | PBE | optimized geometry; ΔE_f = -0.616 eV per atom
1.0
6.4603 0.0000 0.0000
0.0000 8.7001 0.0000
-3.2302 -4.3500 6.0273
Y Sm Bi
2 4 4
direct
0.7500 0.5000 0.0000 Y
0.2500 0.5000 0.0000 Y
0.6532 0.0078 0.3064 Sm
0.8468 0.7014 0.6936 Sm
0.1532 0.2986 0.3064 Sm
0.3468 0.9922 0.6936 Sm
0.6077 0.3232 0.2155 Bi
0.8923 0.1077 0.7845 Bi
0.3923 0.6768 0.7845 Bi
0.1077 0.8923 0.2155 Bi

=====

(13)
Zn2Pb3 | Alexandria | PBE | optimized geometry; ΔE_f = 0.157 eV per atom; energy above the lowest structure with this stoichiometry = 33 meV per atom
1.0
-3.6298 3.6102 5.7433
-7.4778 1.6941 -0.6376
-4.9517 -2.9312 3.8664
Pb Zn
6 4
direct
0.2500 0.6068 0.2500 Pb
0.7500 0.3932 0.7500 Pb
0.8932 0.2500 0.2500 Pb
0.6068 0.8932 0.2500 Pb
0.1068 0.7500 0.7500 Pb
0.3932 0.1068 0.7500 Pb
0.1698 0.1698 0.4905 Zn
0.3302 0.3302 0.0095 Zn
0.6698 0.6698 0.9905 Zn
0.8302 0.8302 0.5095 Zn

=====

(14)
TlAu | Alexandria | PBE | optimized geometry; ΔE_f = -0.005 eV per atom
1.0
-0.4244 -3.5745 -0.3396
1.9084 -0.5142 3.0276
-6.2634 0.3627 4.0096
Tl Au
2 2
direct
0.5000 0.5000 0.7935 Tl
0.0000 0.0000 0.4565 Tl
0.0000 0.0000 0.0310 Au
0.5000 0.5000 0.2190 Au

=====

(15)
CuNi2Pt5Rh | Alexandria | PBE | optimized geometry; ΔE_f = 0.273 eV per atom
1.0
-3.0475 -5.1457 -0.5700
0.4875 -0.9437 5.9129
-5.1365 6.7212 -1.5557
Ni Pt Cu Rh
4 10 2 2
direct
0.8783 0.6217 0.0000 Ni
0.3783 0.8783 0.0000 Ni
0.6217 0.1217 0.0000 Ni
0.1217 0.3783 0.0000 Ni
0.4096 0.3665 0.2760 Pt
0.6335 0.1335 0.7240 Pt
0.8665 0.9096 0.2760 Pt
0.0904 0.5904 0.7240 Pt
0.1335 0.0904 0.7240 Pt
0.0000 0.0000 0.0000 Pt
0.5000 0.5000 0.0000 Pt
0.9096 0.4096 0.2760 Pt
0.5904 0.6335 0.7240 Pt
0.3665 0.8665 0.2760 Pt
0.2500 0.2500 0.5000 Cu
0.7500 0.7500 0.5000 Cu
0.7500 0.2500 0.5000 Rh
0.2500 0.7500 0.5000 Rh

=====

(16)
SmHo2Ni | Alexandria | PBE | optimized geometry; ΔE_f = 0.060 eV per atom; energy above the lowest structure with this stoichiometry = 297 meV per atom
1.0
3.5610 0.0000 0.0000
1.7805 3.0839 0.0000
1.7805 1.0280 10.4178
Ho Sm Ni
2 1 1
direct
0.8885 0.8885 0.3344 Ho
0.1115 0.1115 0.6656 Ho
0.0000 0.0000 0.0000 Sm
0.5000 0.5000 0.5000 Ni

=====

(17)
CaFe2Re | Alexandria | PBE | optimized geometry; ΔE_f = 0.550 eV per atom
1.0
4.1209 0.0000 0.0000
0.0000 2.8400 0.0451
0.0000 1.3510 5.7691
Fe Ca Re
2 1 1
direct
0.5000 0.0441 0.2783 Fe
0.0000 0.1650 0.0494 Fe
0.5000 0.8028 0.7748 Ca
0.0000 0.4881 0.3975 Re

=====

(18)
Zn2NiCl | Alexandria | PBE | optimized geometry; energy above the lowest structure with this stoichiometry = 347 meV per atom; energy relative to the elements, uncorrected = 0.1434 eV per atom
1.0
-3.0750 -4.2568 -4.8037
5.5539 -4.4346 0.3745
0.0446 -5.6779 -0.2691
Zn Ni Cl
4 2 2
direct
0.0998 0.6250 0.2500 Zn
0.6502 0.1250 0.2500 Zn
0.3750 0.3498 0.7500 Zn
0.8750 0.9002 0.7500 Zn
0.7500 0.2500 0.5000 Ni
0.0000 0.0000 0.0000 Ni
0.5000 0.5000 0.0000 Cl
0.2500 0.7500 0.5000 Cl

=====

(19)
Pm2PdPtO6 | Alexandria | PBE | optimized geometry; energy relative to the elements, uncorrected = -1.9403 eV per atom
1.0
5.0625 0.0000 0.0107
0.0000 5.3314 0.0000
-2.0524 -2.6657 4.9656
O Pt Pd Pm
6 1 1 2
direct
0.8210 0.3368 0.1763 O
0.7055 0.3042 0.6084 O
0.2945 0.6958 0.3916 O
0.1790 0.6632 0.8237 O
0.8210 0.8395 0.1763 O
0.1790 0.1605 0.8237 O
0.0000 0.5000 0.0000 Pt
0.5000 0.0000 0.0000 Pd
0.7835 0.7626 0.5253 Pm
0.2165 0.2374 0.4747 Pm

=====

(20)
SmThSiGe | Alexandria | PBE | optimized geometry; energy relative to the elements, uncorrected = -0.7496 eV per atom
1.0
-1.2771 -3.7860 -1.7879
-0.5394 -1.5763 3.7232
-4.5533 3.6485 0.8850
Ge Th Sm Si
1 1 1 1
direct
0.4206 0.0000 0.8413 Ge
0.1379 0.0000 0.2758 Th
0.8598 0.5000 0.7196 Sm
0.5817 0.5000 0.1634 Si

=====

(21)
Cs2TcSF6 | Alexandria | PBE | optimized geometry; energy relative to the elements, uncorrected = -2.0005 eV per atom
1.0
-0.7255 -6.5148 -1.0252
5.3657 0.0165 -3.9023
5.3141 -4.2297 1.6489
F Cs S Tc
6 2 1 1
direct
0.7894 0.7894 0.0000 F
0.2106 0.2106 0.0000 F
0.2106 0.7894 0.0000 F
0.8096 0.8096 0.3808 F
0.7894 0.2106 0.0000 F
0.1904 0.1904 0.6192 F
0.2500 0.7500 0.5000 Cs
0.7500 0.2500 0.5000 Cs
0.5000 0.5000 0.0000 S
0.0000 0.0000 0.0000 Tc

=====

(22)
Ho5Bi4H | Alexandria | PBE | optimized geometry; raw total energy = -0.3496 Ry per atom
1.0
-5.1604 2.5044 -2.5134
-5.8253 0.6185 4.7746
-0.4225 7.5244 0.5633
Ho Bi H
5 4 1
direct
0.7109 0.1958 0.3973 Ho
0.3040 0.8042 0.6027 Ho
0.9067 0.3973 0.8042 Ho
0.4012 0.0000 0.0000 Ho
0.1083 0.6027 0.1958 Ho
0.2102 0.2012 0.3934 Bi
0.6036 0.6066 0.2012 Bi
0.4114 0.3934 0.7988 Bi
0.8048 0.7988 0.6066 Bi
0.0492 0.0000 0.0000 H

=====

(23)
Tb2DyEr5Zr | Alexandria | PBE | optimized geometry; ΔE_f = 0.178 eV per atom
1.0
5.4809 0.0000 0.0000
-2.7405 10.1237 0.0000
0.0000 0.0000 9.9298
Er Tb Dy Zr
10 4 2 2
direct
0.2661 0.5322 0.3355 Er
0.4818 0.9636 0.7391 Er
0.9838 0.9677 0.5137 Er
0.7339 0.4678 0.8355 Er
0.0162 0.0323 0.0137 Er
0.5182 0.0364 0.2391 Er
0.3653 0.7307 0.0233 Er
0.3001 0.6002 0.7010 Er
0.6347 0.2693 0.5233 Er
0.6999 0.3998 0.2010 Er
0.8790 0.7580 0.2325 Tb
0.8897 0.7793 0.8123 Tb
0.1210 0.2420 0.7325 Tb
0.1103 0.2207 0.3123 Tb
0.4035 0.8071 0.4463 Dy
0.5965 0.1929 0.9463 Dy
0.8107 0.6215 0.5202 Zr
0.1893 0.3785 0.0202 Zr